Entry 1:
The following is a PBE calculation of a relaxed InSnCl2 crystal, from the Alexandria database.

Structure (CIF):
```
data_InSnCl2
_chemical_formula_sum 'In4 Sn4 Cl8'
_symmetry_space_group_name_H-M 'I -4 2 d'
_symmetry_Int_Tables_number 122
_symmetry_space_group_name_Hall 'I -4 2bw'
_cell_length_a 4.894
_cell_length_b 4.894
_cell_length_c 19.212
_cell_angle_alpha 90.00
_cell_angle_beta 90.00
_cell_angle_gamma 90.00
loop_
_atom_site_label
_atom_site_type_symbol
_atom_site_fract_x
_atom_site_fract_y
_atom_site_fract_z
In1 In 0.000 0.000 0.000
Sn1 Sn 0.000 0.000 0.500
Cl1 Cl 0.237 0.250 0.625
```

Output
magnetic moment = 0.00 Bohr magnetons per cell
distance to the lowest polymorph of the same formula = 0.059 eV/atom
formation energy (no corrections) = -0.465 eV/atom
E_tot = -3.074 eV per atom
N(E_F) = 2.7 states/eV/f.u.
calculated volume = 460.1 Å³/cell

---

Entry 2:
The following is a PBE calculation of a relaxed In3SnCl crystal, from the Alexandria database.

Structure (CIF):
```
data_In3SnCl
_chemical_formula_sum 'In3 Sn1 Cl1'
_symmetry_space_group_name_H-M 'P m -3 m'
_symmetry_Int_Tables_number 221
_symmetry_space_group_name_Hall '-P 4 2 3'
_cell_length_a 5.900
_cell_length_b 5.900
_cell_length_c 5.900
_cell_angle_alpha 90.00
_cell_angle_beta 90.00
_cell_angle_gamma 90.00
loop_
_atom_site_label
_atom_site_type_symbol
_atom_site_fract_x
_atom_site_fract_y
_atom_site_fract_z
In1 In 0.000 0.000 0.500
Sn1 Sn 0.000 0.000 0.000
Cl1 Cl 0.500 0.500 0.500
```

Output
magnetic moment = 0.00 Bohr magnetons per cell
distance to the lowest polymorph of the same formula = 0.000 eV/atom
formation energy (no corrections) = 0.133 eV/atom
E_tot = -2.680 eV per atom
N(E_F) = 2.8 states/eV/f.u.
calculated volume = 205.4 Å³/cell

---

Entry 3:
The following is a PBE calculation of a relaxed InSnCl2 crystal, from the Alexandria database.

Structure (CIF):
```
data_InSnCl2
_chemical_formula_sum 'In4 Sn4 Cl8'
_symmetry_space_group_name_H-M 'F m -3 m'
_symmetry_Int_Tables_number 225
_symmetry_space_group_name_Hall '-F 4 2 3'
_cell_length_a 7.486
_cell_length_b 7.486
_cell_length_c 7.486
_cell_angle_alpha 90.00
_cell_angle_beta 90.00
_cell_angle_gamma 90.00
loop_
_atom_site_label
_atom_site_type_symbol
_atom_site_fract_x
_atom_site_fract_y
_atom_site_fract_z
In1 In 0.000 0.000 0.000
Sn1 Sn 0.000 0.000 0.500
Cl1 Cl 0.250 0.250 0.250
```

Output
magnetic moment = 0.00 Bohr magnetons per cell
distance to the lowest polymorph of the same formula = 0.086 eV/atom
formation energy (no corrections) = -0.439 eV/atom
E_tot = -3.047 eV per atom
N(E_F) = 2.4 states/eV/f.u.
calculated volume = 419.5 Å³/cell